No. 1
YTm2Lu: relaxed, PBE.

a = 4.9583 Å, b = 4.9510 Å, c = 4.9510 Å
α = 90.00°, β = 90.00°, γ = 90.00°
Last column: nearest neighbours and their distance in Å.
Element x y z (fractional)
Tm (0.0000, 0.5000, 0.0000)  4 Tm 3.50, 4 Lu 3.50, 4 Y 3.50
Tm (0.0000, 0.0000, 0.5000)  4 Tm 3.50, 4 Y 3.50, 4 Lu 3.50
Lu (0.5000, 0.5000, 0.5000)  4 Y 3.50, 8 Tm 3.50
Y (0.5000, 0.0000, 0.0000)  4 Lu 3.50, 8 Tm 3.50

Results
DFT formation energy = 0.03 eV/atom
Offset from the most stable computed form = 0.006 eV per formula unit

***

No. 2
DyHo2TmSc: relaxed, PBE.

a = 6.2752 Å, b = 6.2719 Å, c = 8.5759 Å
α = 111.45°, β = 90.00°, γ = 90.00°
Last column: nearest neighbours and their distance in Å.
Element x y z (fractional)
Dy (0.2500, 0.2500, 0.4999)  4 Tm 3.46, 4 Sc 3.48
Dy (0.7500, 0.7500, 0.5001)  4 Tm 3.46, 4 Sc 3.48
Ho (0.5000, 0.7515, 0.0000)  4 Ho 3.12-3.16, 2 Sc 3.32, 2 Tm 3.37
Ho (0.5000, 0.2485, 0.0000)  4 Ho 3.12-3.16, 2 Sc 3.32, 2 Tm 3.37
Ho (0.0000, 0.2485, 0.0000)  4 Ho 3.12-3.16, 2 Sc 3.32, 2 Tm 3.37
Ho (0.0000, 0.7515, 0.0000)  4 Ho 3.12-3.16, 2 Sc 3.32, 2 Tm 3.37
Tm (0.7500, 0.3414, 0.6828)  1 Sc 2.97
Tm (0.2500, 0.6586, 0.3172)  1 Sc 2.97
Sc (0.7500, 0.1552, 0.3104)  1 Tm 2.97, 4 Ho 3.32
Sc (0.2500, 0.8448, 0.6896)  1 Tm 2.97, 4 Ho 3.32

Results
DFT formation energy = 0.38 eV/atom

***

No. 3
Hf3AlBr: relaxed, PBE.

a = 4.8868 Å, b = 4.8868 Å, c = 4.8868 Å
α = 90.00°, β = 90.00°, γ = 90.00°
Last column: nearest neighbours and their distance in Å.
Element x y z (fractional)
Al (0.5000, 0.5000, 0.5000)  12 Hf 3.46
Hf (0.0000, 0.5000, 0.0000)  2 Br 2.44
Hf (0.0000, 0.0000, 0.5000)  2 Br 2.44
Hf (0.5000, 0.0000, 0.0000)  2 Br 2.44
Br (0.0000, 0.0000, 0.0000)  6 Hf 2.44

Results
Formation energy (no corrections) = 3.34 eV per formula unit
Offset from the most stable computed form = 0.000 eV per formula unit

***

No. 4
Np2MnTlS5: relaxed, PBE.

a = 4.4585 Å, b = 6.8599 Å, c = 7.8658 Å
α = 115.85°, β = 106.46°, γ = 90.00°
Last column: nearest neighbours and their distance in Å.
Element x y z (fractional)
S (0.0000, 0.0000, 0.0000)  2 Mn 2.23
S (0.3516, 0.0908, 0.7031)  1 Mn 2.58, 3 Np 2.72-2.85
S (0.6484, 0.9092, 0.2969)  1 Mn 2.58, 3 Np 2.72-2.85
S (0.6484, 0.3876, 0.2969)  1 Mn 2.58, 3 Np 2.72-2.85
S (0.3516, 0.6124, 0.7031)  1 Mn 2.58, 3 Np 2.72-2.85
Np (0.8014, 0.8014, 0.6027)  7 S 2.67-2.85
Np (0.1986, 0.1986, 0.3973)  7 S 2.67-2.85
Mn (0.5000, 0.0000, 0.0000)  2 S 2.23
Tl (0.0000, 0.5000, 0.0000)  10 S 3.43-3.49

Results
Formation energy (no corrections) = -8.94 eV per formula unit

***

No. 5
LiIrCl2: relaxed, PBE.

a = 6.6756 Å, b = 6.6756 Å, c = 5.0760 Å
α = 88.54°, β = 88.54°, γ = 24.91°
Last column: nearest neighbours and their distance in Å.
Element x y z (fractional)
Li (0.7500, 0.7500, 0.7500)  4 Cl 2.48
Cl (0.3811, 0.3811, 0.5293)  1 Ir 2.25, 2 Li 2.48
Cl (0.1189, 0.1189, 0.9707)  1 Ir 2.25, 2 Li 2.48
Ir (0.2500, 0.2500, 0.2500)  2 Cl 2.25

Results
Formation energy (no corrections) = -1.26 eV per formula unit
Offset from the most stable computed form = 0.660 eV per formula unit

***

No. 6
Ac2Pm5Sm: relaxed, PBE.

a = 5.3052 Å, b = 5.3052 Å, c = 11.1004 Å
α = 103.83°, β = 103.83°, γ = 90.00°
Last column: nearest neighbours and their distance in Å.
Element x y z (fractional)
Pm (0.1194, 0.6194, 0.2389)  6 Pm 3.64-3.75, 2 Sm 3.64, 4 Ac 3.80-3.81
Pm (0.8806, 0.3806, 0.7611)  6 Pm 3.64-3.75, 2 Sm 3.64, 4 Ac 3.80-3.81
Pm (0.3806, 0.8806, 0.7611)  2 Sm 3.64, 6 Pm 3.64-3.75, 4 Ac 3.80-3.81
Pm (0.6194, 0.1194, 0.2389)  2 Sm 3.64, 6 Pm 3.64-3.75, 4 Ac 3.80-3.81
Pm (0.5000, 0.5000, 0.0000)  8 Pm 3.64, 4 Sm 3.75
Sm (0.0000, 0.0000, 0.0000)  12 Pm 3.64-3.75
Ac (0.2500, 0.2500, 0.5000)  4 Ac 3.75, 8 Pm 3.80-3.81
Ac (0.7500, 0.7500, 0.5000)  4 Ac 3.75, 8 Pm 3.80-3.81

Results
DFT formation energy = 0.03 eV/atom

***

No. 7
La3Pr3In2: relaxed, PBE.

a = 5.3922 Å, b = 6.7399 Å, c = 16.4598 Å
α = 90.00°, β = 90.00°, γ = 113.58°
Last column: nearest neighbours and their distance in Å.
Element x y z (fractional)
Pr (0.3605, 0.7209, 0.5312)  3 In 3.22-3.40, 1 Pr 3.60
Pr (0.4498, 0.8996, 0.2500)  2 In 3.29, 5 La 3.35-3.57
Pr (0.6395, 0.2791, 0.0312)  3 In 3.22-3.40, 1 Pr 3.60
Pr (0.6395, 0.2791, 0.4688)  3 In 3.22-3.40, 1 Pr 3.60
Pr (0.3605, 0.7209, 0.9688)  3 In 3.22-3.40, 1 Pr 3.60
Pr (0.5502, 0.1004, 0.7500)  2 In 3.29, 5 La 3.35-3.57
La (0.9605, 0.9209, 0.1084)  1 In 3.36, 6 Pr 3.57-3.75, 1 La 3.70
La (0.0395, 0.0791, 0.8916)  1 In 3.36, 6 Pr 3.57-3.75, 1 La 3.70
La (0.2788, 0.5575, 0.7500)  4 In 3.27, 1 Pr 3.35
La (0.7212, 0.4425, 0.2500)  4 In 3.27, 1 Pr 3.35
La (0.0395, 0.0791, 0.6084)  1 In 3.36, 6 Pr 3.57-3.75, 1 La 3.70
La (0.9605, 0.9209, 0.3916)  1 In 3.36, 6 Pr 3.57-3.75, 1 La 3.70
In (0.2294, 0.4587, 0.3623)  4 Pr 3.22-3.40, 3 La 3.27-3.36
In (0.7706, 0.5413, 0.6377)  4 Pr 3.22-3.40, 3 La 3.27-3.36
In (0.2294, 0.4587, 0.1377)  4 Pr 3.22-3.40, 3 La 3.27-3.36
In (0.7706, 0.5413, 0.8623)  4 Pr 3.22-3.40, 3 La 3.27-3.36

Results
DFT formation energy = -0.17 eV/atom
Offset from the most stable computed form = 0.429 eV per formula unit

***

No. 8
TiTl2Bi2: relaxed, PBE.

a = 7.5050 Å, b = 7.5050 Å, c = 5.5796 Å
α = 90.00°, β = 90.00°, γ = 90.00°
Last column: nearest neighbours and their distance in Å.
Element x y z (fractional)
Tl (0.8283, 0.3283, 0.5000)  6 Bi 3.39-3.68, 1 Tl 3.64
Tl (0.6717, 0.8283, 0.5000)  6 Bi 3.39-3.68, 1 Tl 3.64
Tl (0.1717, 0.6717, 0.5000)  6 Bi 3.39-3.68, 1 Tl 3.64
Tl (0.3283, 0.1717, 0.5000)  6 Bi 3.39-3.68, 1 Tl 3.64
Bi (0.1476, 0.3524, 0.0000)  2 Ti 2.87, 1 Bi 3.13
Bi (0.8524, 0.6476, 0.0000)  2 Ti 2.87, 1 Bi 3.13
Bi (0.3524, 0.8524, 0.0000)  2 Ti 2.87, 1 Bi 3.13
Bi (0.6476, 0.1476, 0.0000)  2 Ti 2.87, 1 Bi 3.13
Ti (0.5000, 0.5000, 0.0000)  4 Bi 2.87
Ti (0.0000, 0.0000, 0.0000)  4 Bi 2.87

Results
DFT formation energy = 0.18 eV/atom

***

No. 9
In2CoTc: relaxed, PBE.

a = 9.1797 Å, b = 9.1797 Å, c = 9.1797 Å
α = 18.86°, β = 18.86°, γ = 18.86°
Last column: nearest neighbours and their distance in Å.
Element x y z (fractional)
In (0.0102, 0.0102, 0.0102)  3 Co 2.77, 6 In 3.01
In (0.2430, 0.2430, 0.2430)  3 Tc 2.91, 9 In 3.01-3.23
Tc (0.4899, 0.4899, 0.4899)  3 Co 2.50
Co (0.7568, 0.7568, 0.7568)  3 Tc 2.50, 3 In 2.77

Results
DFT formation energy = 0.38 eV/atom
Offset from the most stable computed form = 0.607 eV per formula unit

***

No. 10
YHRh3: relaxed, PBE.

a = 4.0885 Å, b = 4.0885 Å, c = 4.0885 Å
α = 90.00°, β = 90.00°, γ = 90.00°
Last column: nearest neighbours and their distance in Å.
Element x y z (fractional)
Rh (0.0000, 0.0000, 0.5000)  2 H 2.04
Rh (0.0000, 0.5000, 0.0000)  2 H 2.04
Rh (0.5000, 0.0000, 0.0000)  2 H 2.04
H (0.0000, 0.0000, 0.0000)  6 Rh 2.04
Y (0.5000, 0.5000, 0.5000)  12 Rh 2.89

Results
Offset from the most stable computed form = 0.000 eV per formula unit

***

No. 11
BaMoW2: relaxed, PBE.

a = 4.8954 Å, b = 4.8954 Å, c = 3.2266 Å
α = 90.00°, β = 90.00°, γ = 90.00°
Last column: nearest neighbours and their distance in Å.
Element x y z (fractional)
W (0.5000, 0.5000, 0.0000)  4 Ba 2.93, 4 Mo 2.93, 2 W 3.23
W (0.0000, 0.0000, 0.0000)  4 Ba 2.93, 4 Mo 2.93, 2 W 3.23
Ba (0.5000, 0.0000, 0.5000)  8 W 2.93, 2 Ba 3.23
Mo (0.0000, 0.5000, 0.5000)  8 W 2.93, 2 Mo 3.23

Results
DFT formation energy = 1.64 eV/atom
Offset from the most stable computed form = 3.159 eV per formula unit

***

No. 12
Ce2CCl3: relaxed, PBE.

a = 4.0389 Å, b = 8.4139 Å, c = 10.0495 Å
α = 70.41°, β = 78.41°, γ = 76.11°
Last column: nearest neighbours and their distance in Å.
Element x y z (fractional)
Ce (0.1336, 0.5239, 0.2090)  2 C 2.41
Ce (0.5901, 0.2709, 0.5488)  2 C 2.33
Ce (0.4099, 0.7291, 0.4512)  2 C 2.33
Ce (0.8664, 0.4761, 0.7910)  2 C 2.41
C (0.4272, 0.4915, 0.6541)  4 Ce 2.33-2.41
C (0.5728, 0.5085, 0.3459)  4 Ce 2.33-2.41
Cl (0.3350, 0.3184, 0.0116)  3 Ce 2.93-2.96
Cl (0.9499, 0.8573, 0.2428)  3 Ce 2.84
Cl (0.7758, 0.8330, 0.6154)  3 Ce 2.87-2.91
Cl (0.2242, 0.1670, 0.3846)  3 Ce 2.87-2.91
Cl (0.0501, 0.1427, 0.7572)  3 Ce 2.84
Cl (0.6650, 0.6816, 0.9884)  3 Ce 2.93-2.96

Results
Formation energy (no corrections) = -9.50 eV per formula unit

***

No. 13
Te2RuCl: relaxed, PBE.

a = 8.1794 Å, b = 8.1794 Å, c = 8.1794 Å
α = 28.96°, β = 28.96°, γ = 28.96°
Last column: nearest neighbours and their distance in Å.
Element x y z (fractional)
Te (0.1142, 0.1142, 0.1142)  3 Ru 2.66, 1 Cl 2.68
Te (0.8858, 0.8858, 0.8858)  3 Ru 2.66, 1 Cl 2.68
Ru (0.5000, 0.5000, 0.5000)  6 Te 2.66
Cl (0.0000, 0.0000, 0.0000)  2 Te 2.68

Results
Formation energy (no corrections) = -0.82 eV per formula unit
Offset from the most stable computed form = 0.000 eV per formula unit

***

No. 14
Cs2LiSn2Te4: relaxed, PBE.

a = 5.8159 Å, b = 8.3673 Å, c = 8.1520 Å
α = 104.24°, β = 90.00°, γ = 110.34°
Last column: nearest neighbours and their distance in Å.
Element x y z (fractional)
Te (0.1873, 0.3745, 0.1358)  1 Li 2.86, 2 Sn 3.03
Te (0.5048, 0.0096, 0.7453)  2 Sn 2.86-3.10
Te (0.8127, 0.6255, 0.8642)  1 Li 2.86, 2 Sn 3.03
Te (0.4952, 0.9904, 0.2547)  2 Sn 2.86-3.10
Cs (0.8622, 0.7243, 0.4047)  1 Sn 3.86, 8 Te 3.96-4.27, 1 Cs 4.20
Cs (0.1378, 0.2757, 0.5953)  1 Sn 3.86, 8 Te 3.96-4.27, 1 Cs 4.20
Sn (0.3600, 0.7200, 0.9406)  4 Te 2.86-3.10
Sn (0.6400, 0.2800, 0.0594)  4 Te 2.86-3.10
Li (0.0000, 0.0000, 0.0000)  2 Te 2.86

Results
Formation energy (no corrections) = -5.97 eV per formula unit

***

No. 15
MgRe4Se8: relaxed, PBE.

a = 6.9734 Å, b = 6.9733 Å, c = 7.9952 Å
α = 90.00°, β = 115.86°, γ = 120.00°
Last column: nearest neighbours and their distance in Å.
Element x y z (fractional)
Re (0.5000, 0.0000, 0.0000)  6 Se 2.55
Re (0.0000, 0.0000, 0.0000)  6 Se 2.56
Re (0.5000, 0.5000, 0.0000)  6 Se 2.55
Re (0.0000, 0.5000, 0.0000)  6 Se 2.55
Se (0.4849, 0.7425, 0.2274)  3 Re 2.55
Se (0.5151, 0.2575, 0.7726)  3 Re 2.55
Se (0.4860, 0.2430, 0.2280)  3 Re 2.55-2.56, 1 Mg 2.75
Se (0.5140, 0.7570, 0.7720)  3 Re 2.55-2.56, 1 Mg 2.75
Se (0.0150, 0.2580, 0.7720)  3 Re 2.55-2.56, 1 Mg 2.75
Se (0.0150, 0.7570, 0.7720)  3 Re 2.55-2.56, 1 Mg 2.75
Se (0.9850, 0.2430, 0.2280)  3 Re 2.55-2.56, 1 Mg 2.75
Se (0.9850, 0.7420, 0.2280)  3 Re 2.55-2.56, 1 Mg 2.75
Mg (0.0000, 0.5000, 0.5000)  6 Se 2.75

Results
Formation energy (no corrections) = -0.26 eV per formula unit

***

No. 16
CeSm2Br6: relaxed, PBE.

a = 8.0644 Å, b = 8.0644 Å, c = 7.0755 Å
α = 55.26°, β = 55.26°, γ = 60.00°
Last column: nearest neighbours and their distance in Å.
Element x y z (fractional)
Sm (0.5339, 0.5339, 0.3982)  6 Br 2.98-3.09
Sm (0.7920, 0.7920, 0.6239)  6 Br 2.90-3.08
Br (0.7461, 0.4094, 0.7288)  2 Sm 2.90-3.09, 1 Ce 3.04
Br (0.1157, 0.7461, 0.7288)  2 Sm 2.90-3.09, 1 Ce 3.04
Br (0.6236, 0.9173, 0.2512)  2 Sm 2.98-3.08, 1 Ce 3.07
Br (0.2080, 0.6236, 0.2512)  2 Sm 2.98-3.08, 1 Ce 3.07
Br (0.4094, 0.1157, 0.7288)  2 Sm 2.90-3.09, 1 Ce 3.04
Br (0.9173, 0.2080, 0.2512)  2 Sm 2.98-3.08, 1 Ce 3.07
Ce (0.3197, 0.3197, 0.0408)  6 Br 3.04-3.07

Results
Formation energy (no corrections) = -13.29 eV per formula unit

***

No. 17
LaTa2Sb2: relaxed, PBE.

a = 4.0927 Å, b = 4.0927 Å, c = 7.9424 Å
α = 75.07°, β = 75.07°, γ = 90.00°
Last column: nearest neighbours and their distance in Å.
Element x y z (fractional)
Sb (0.3849, 0.3849, 0.2302)  4 Ta 2.86
Sb (0.6151, 0.6151, 0.7698)  4 Ta 2.86
Ta (0.7500, 0.2500, 0.5000)  4 Sb 2.86, 4 Ta 2.89
Ta (0.2500, 0.7500, 0.5000)  4 Sb 2.86, 4 Ta 2.89
La (0.0000, 0.0000, 0.0000)  8 Sb 3.36

Results
Formation energy (no corrections) = -1.89 eV per formula unit

***

No. 18
PmAgGe: relaxed, PBE.

a = 4.3713 Å, b = 8.2975 Å, c = 7.3437 Å
α = 90.00°, β = 90.00°, γ = 90.00°
Last column: nearest neighbours and their distance in Å.
Element x y z (fractional)
Ag (0.7500, 0.5608, 0.6487)  4 Ge 2.73-2.92
Ag (0.2500, 0.0608, 0.8513)  4 Ge 2.73-2.92
Ag (0.7500, 0.9392, 0.1487)  4 Ge 2.73-2.92
Ag (0.2500, 0.4392, 0.3513)  4 Ge 2.73-2.92
Pm (0.7500, 0.1902, 0.5222)  5 Ge 3.05-3.16, 3 Ag 3.21-3.26
Pm (0.7500, 0.3098, 0.0222)  5 Ge 3.05-3.16, 3 Ag 3.21-3.26
Pm (0.2500, 0.8098, 0.4778)  5 Ge 3.05-3.16, 3 Ag 3.21-3.26
Pm (0.2500, 0.6902, 0.9778)  5 Ge 3.05-3.16, 3 Ag 3.21-3.26
Ge (0.7500, 0.6174, 0.2564)  4 Ag 2.73-2.92, 2 Pm 3.05
Ge (0.2500, 0.1174, 0.2436)  4 Ag 2.73-2.92, 2 Pm 3.05
Ge (0.2500, 0.3826, 0.7436)  4 Ag 2.73-2.92, 2 Pm 3.05
Ge (0.7500, 0.8826, 0.7564)  4 Ag 2.73-2.92, 2 Pm 3.05

Results
DFT formation energy = -0.62 eV/atom
Offset from the most stable computed form = 0.049 eV per formula unit

***

No. 19
Ba2AlSnAu6: relaxed, PBE.

a = 6.3156 Å, b = 8.5411 Å, c = 7.4153 Å
α = 52.28°, β = 64.79°, γ = 90.00°
Last column: nearest neighbours and their distance in Å.
Element x y z (fractional)
Ba (0.2432, 0.7936, 0.5135)  11 Au 3.47-3.76
Ba (0.7568, 0.2064, 0.4865)  11 Au 3.47-3.76
Sn (0.5000, 0.5000, 0.0000)  6 Au 2.77-2.78
Au (0.7557, 0.6388, 0.4884)  1 Al 2.57, 1 Sn 2.77
Au (0.2787, 0.2604, 0.9469)  1 Al 2.56, 1 Sn 2.78
Au (0.7747, 0.2608, 0.9465)  1 Al 2.56, 1 Sn 2.78
Au (0.7213, 0.7396, 0.0531)  1 Al 2.56, 1 Sn 2.78
Au (0.2443, 0.3612, 0.5116)  1 Al 2.57, 1 Sn 2.77
Au (0.2253, 0.7392, 0.0535)  1 Al 2.56, 1 Sn 2.78
Al (0.0000, 0.0000, 0.0000)  6 Au 2.56-2.57

Results
DFT formation energy = -0.54 eV/atom

***

No. 20
PuNbIn: relaxed, PBE.

a = 4.7480 Å, b = 6.0153 Å, c = 10.4693 Å
α = 63.05°, β = 90.00°, γ = 90.00°
Last column: nearest neighbours and their distance in Å.
Element x y z (fractional)
Nb (0.2500, 0.2410, 0.5798)  4 Nb 2.88-3.01, 5 In 2.93-3.17, 1 Pu 3.03
Nb (0.7500, 0.7590, 0.4202)  4 Nb 2.88-3.01, 5 In 2.93-3.17, 1 Pu 3.03
Nb (0.7500, 0.2590, 0.4202)  4 Nb 2.88-3.01, 5 In 2.93-3.17, 1 Pu 3.03
Nb (0.2500, 0.7410, 0.5798)  4 Nb 2.88-3.01, 5 In 2.93-3.17, 1 Pu 3.03
Pu (0.7500, 0.5495, 0.0964)  6 Pu 3.01-3.34, 1 Nb 3.03, 4 In 3.30-3.33
Pu (0.2500, 0.9505, 0.9036)  6 Pu 3.01-3.34, 1 Nb 3.03, 4 In 3.30-3.33
Pu (0.2500, 0.4505, 0.9036)  6 Pu 3.01-3.34, 1 Nb 3.03, 4 In 3.30-3.33
Pu (0.7500, 0.0495, 0.0964)  6 Pu 3.01-3.34, 1 Nb 3.03, 4 In 3.30-3.33
In (0.2500, 0.1442, 0.2854)  5 Nb 2.93-3.17, 2 In 3.01
In (0.7500, 0.8558, 0.7146)  5 Nb 2.93-3.17, 2 In 3.01
In (0.2500, 0.6442, 0.2854)  5 Nb 2.93-3.17, 2 In 3.01
In (0.7500, 0.3558, 0.7146)  5 Nb 2.93-3.17, 2 In 3.01

Results
DFT formation energy = 0.08 eV/atom
Offset from the most stable computed form = 0.000 eV per formula unit

***

no.,final energy (eV per atom)
1,-4.95
2,-4.53
3,-6.39
4,-7.44
5,-3.93
6,-4.55
7,-4.49
8,-3.90
9,-5.36
10,-6.87
11,-8.03
12,-6.02
13,-4.56
14,-3.35
15,-6.12
16,-4.30
17,-7.75
18,-4.69
19,-3.66
20,-8.97